[1]
# Ta2TcOs

Crystalline Ta2TcOs at its relaxed geometry (GGA-PBE, OQMD).

Computed properties:
Formation enthalpy at 0 K = -406 meV per atom
E_tot = -281.5 eV/cell
Space-group type = Fm-3m
Density = 16.76 Mg/m³

a b c (Å): 4.5008 6.3630 13.4984
angles (deg): 90.00 90.00 90.00
Fractional coordinates of all 24 atoms:
Os 0.0000 0.5000 0.0000
Os 0.4999 0.0000 0.1667
Os 0.0000 0.5000 0.3333
Os 0.5000 0.0000 0.5000
Os 0.0000 0.5000 0.6667
Os 0.5000 0.0000 0.8333
Ta 0.5000 0.2500 0.0000
Ta 0.5000 0.7500 0.0000
Ta 0.0000 0.2500 0.1667
Ta 0.0000 0.7500 0.1667
Ta 0.5000 0.2500 0.3333
Ta 0.5000 0.7500 0.3333
Ta 0.0000 0.2500 0.5000
Ta 0.0000 0.7500 0.5000
Ta 0.5000 0.2500 0.6667
Ta 0.5000 0.7500 0.6667
Ta 0.0000 0.2500 0.8333
Ta 0.0000 0.7500 0.8333
Tc 0.0000 0.0000 0.0000
Tc 0.4999 0.5000 0.1666
Tc 0.0000 0.0000 0.3334
Tc 0.5000 0.5000 0.5000
Tc 0.0000 0.0000 0.6666
Tc 0.5001 0.5000 0.8334

***

[2]
# Pm2ZrP3

Crystalline Pm2ZrP3 at its relaxed geometry (GGA-PBE, OQMD).

Computed properties:
E_tot = -43.2 eV/cell
Space-group type = P-3m1
Density = 5.84 Mg/m³

a b c (Å): 3.9750 3.9750 9.8449
angles (deg): 90.00 90.00 120.00
Fractional coordinates of all 6 atoms:
P 0.0000 0.0000 0.0000
P 0.3333 0.6667 0.3522
P 0.6667 0.3333 0.6478
Pm 0.6667 0.3333 0.1751
Pm 0.3333 0.6667 0.8249
Zr 0.0000 0.0000 0.5000

***

[3]
# TcN

Crystalline TcN at its relaxed geometry (GGA-PBE, OQMD).

Computed properties:
E_tot = -36.8 eV/cell
Space-group type = P6_3/mmc
Polymorph energy (0 for the lowest one) = 135 meV/atom
Density = 9.54 Mg/m³

a b c (Å): 2.8141 2.8141 5.6825
angles (deg): 90.00 90.00 120.00
Fractional coordinates of all 4 atoms:
N 0.3333 0.6667 0.2500
N 0.6667 0.3333 0.7500
Tc 0.0000 0.0000 0.0000
Tc 0.0000 0.0000 0.5000

***

[4]
# Re2HgO6

Crystalline Re2HgO6 at its relaxed geometry (GGA-PBE, OQMD).

Computed properties:
E_tot = -64.5 eV/cell
Space-group type = P-31m
Density = 9.45 Mg/m³

a b c (Å): 5.3231 5.3231 4.7898
angles (deg): 90.00 90.00 120.00
Site moments in Bohr magnetons follow the coordinates.
Fractional coordinates of all 9 atoms:
Hg 0.0000 0.0000 0.0000  0.01
O 0.3861 0.0000 0.2814  0.02
O 0.0000 0.3861 0.2814  0.01
O 0.6139 0.6139 0.2814  0.01
O 0.6139 0.0000 0.7186  0.02
O 0.3861 0.3861 0.7186  0.01
O 0.0000 0.6139 0.7186  0.01
Re 0.6667 0.3333 0.5000  0.37
Re 0.3333 0.6667 0.5000  0.37

***

[5]
# Ba2AlNi

Crystalline Ba2AlNi at its relaxed geometry (GGA-PBE, OQMD).

Computed properties:
E_tot = -11.1 eV/cell
Space-group type = F-43m
Density = 5.39 Mg/m³

a b c (Å): 5.3938 5.3938 5.3938
angles (deg): 60.00 60.00 60.00
Fractional coordinates of all 4 atoms:
Al 0.2500 0.2500 0.2500
Ba 0.5000 0.5000 0.5000
Ba 0.7500 0.7500 0.7500
Ni 0.0000 0.0000 0.0000

***

[6]
# YTmNi2B2P2

Crystalline YTmNi2B2P2 at its relaxed geometry (GGA-PBE, OQMD).

Computed properties:
E_tot = -52.2 eV/cell
Space-group type = P4mm
Density = 6.48 Mg/m³

a b c (Å): 3.8708 3.8708 7.8449
angles (deg): 90.00 90.00 90.00
Fractional coordinates of all 8 atoms:
B 0.0000 0.0000 0.4029
B 0.5000 0.5000 0.5954
Ni 0.5000 0.0000 0.5017
Ni 0.0000 0.5000 0.5017
P 0.0000 0.0000 0.1536
P 0.5000 0.5000 0.8436
Tm 0.0000 0.0000 0.7946
Y 0.5000 0.5000 0.2066

***

[7]
# Cu4Ag

Crystalline Cu4Ag at its relaxed geometry (GGA-PBE, OQMD).

Computed properties:
Formation enthalpy at 0 K = 68 meV per atom
E_tot = -34.7 eV/cell
Space-group type = P2_1/m
Polymorph energy (0 for the lowest one) = 24 meV/atom
Density = 9.20 Mg/m³

a b c (Å): 6.4145 2.6810 7.8594
angles (deg): 90.00 104.77 90.00
Fractional coordinates of all 10 atoms:
Ag 0.6632 0.7500 0.4447
Ag 0.3368 0.2500 0.5553
Cu 0.8506 0.7500 0.0499
Cu 0.5481 0.2500 0.1382
Cu 0.2479 0.7500 0.2323
Cu 0.9596 0.2500 0.3321
Cu 0.0404 0.7500 0.6679
Cu 0.7521 0.2500 0.7677
Cu 0.4519 0.7500 0.8618
Cu 0.1494 0.2500 0.9501

***

[8]
# PrZr3P

Crystalline PrZr3P at its relaxed geometry (GGA-PBE, OQMD).

Computed properties:
E_tot = -37.5 eV/cell
Space-group type = Pm-3m
Density = 5.80 Mg/m³

a b c (Å): 5.0352 5.0352 5.0352
angles (deg): 90.00 90.00 90.00
Fractional coordinates of all 5 atoms:
P 0.5000 0.5000 0.5000
Pr 0.0000 0.0000 0.0000
Zr 0.5000 0.5000 0.0000
Zr 0.5000 0.0000 0.5000
Zr 0.0000 0.5000 0.5000

***

Repeat the first record exactly.
# Ta2TcOs

Crystalline Ta2TcOs at its relaxed geometry (GGA-PBE, OQMD).

Computed properties:
Formation enthalpy at 0 K = -406 meV per atom
E_tot = -281.5 eV/cell
Space-group type = Fm-3m
Density = 16.76 Mg/m³

a b c (Å): 4.5008 6.3630 13.4984
angles (deg): 90.00 90.00 90.00
Fractional coordinates of all 24 atoms:
Os 0.0000 0.5000 0.0000
Os 0.4999 0.0000 0.1667
Os 0.0000 0.5000 0.3333
Os 0.5000 0.0000 0.5000
Os 0.0000 0.5000 0.6667
Os 0.5000 0.0000 0.8333
Ta 0.5000 0.2500 0.0000
Ta 0.5000 0.7500 0.0000
Ta 0.0000 0.2500 0.1667
Ta 0.0000 0.7500 0.1667
Ta 0.5000 0.2500 0.3333
Ta 0.5000 0.7500 0.3333
Ta 0.0000 0.2500 0.5000
Ta 0.0000 0.7500 0.5000
Ta 0.5000 0.2500 0.6667
Ta 0.5000 0.7500 0.6667
Ta 0.0000 0.2500 0.8333
Ta 0.0000 0.7500 0.8333
Tc 0.0000 0.0000 0.0000
Tc 0.4999 0.5000 0.1666
Tc 0.0000 0.0000 0.3334
Tc 0.5000 0.5000 0.5000
Tc 0.0000 0.0000 0.6666
Tc 0.5001 0.5000 0.8334

***

Question: Which value of density does entry 5 give?
Answer: 5.39 Mg/m³